[1]
This record from the Alexandria database describes a geometry-optimized K4MgMn4O8 structure. The functional is PBE with a Hubbard U.

Results
Fermi-level density of states in states/eV/f.u.: 3.5

```
data_K4MgMn4O8
_chemical_formula_sum 'K4 Mg1 Mn4 O8'
_symmetry_space_group_name_H-M 'P 1 m 1'
_symmetry_Int_Tables_number 6
_cell_length_a 6.8384
_cell_length_b 3.0867
_cell_length_c 12.7795
_cell_angle_alpha 90.00
_cell_angle_beta 95.38
_cell_angle_gamma 90.00
loop_
_symmetry_equiv_pos_as_xyz
'x,y,z'
'x,-y,z'
loop_
_atom_site_label
_atom_site_type_symbol
_atom_site_fract_x
_atom_site_fract_y
_atom_site_fract_z
K1 K 0.0000 0.0000 0.0000
K2 K 0.1485 0.0000 0.5746
K3 K 0.3879 0.5000 0.8327
K4 K 0.8238 0.5000 0.2967
Mg1 Mg 0.3893 0.0000 0.3811
Mn1 Mn 0.2764 0.5000 0.2113
Mn2 Mn 0.5380 0.0000 0.0771
Mn3 Mn 0.6530 0.0000 0.5660
Mn4 Mn 0.8605 0.5000 0.7482
O1 O 0.0456 0.0000 0.7855
O2 O 0.1355 0.0000 0.2876
O3 O 0.3367 0.5000 0.0518
O4 O 0.4456 0.5000 0.4790
O5 O 0.5104 0.0000 0.2432
O6 O 0.6621 0.0000 0.7407
O7 O 0.7146 0.5000 0.0581
O8 O 0.8544 0.5000 0.5800
```

[2]
This record from the Alexandria database describes a geometry-optimized K8MgMn4O16 structure. The functional is PBE with a Hubbard U.

Results
Energy above the most stable polymorph in this dataset in eV per atom: 0.0000

```
data_K8MgMn4O16
_chemical_formula_sum 'K8 Mg1 Mn4 O16'
_symmetry_space_group_name_H-M 'P 1'
_symmetry_Int_Tables_number 1
_cell_length_a 5.7359
_cell_length_b 7.9262
_cell_length_c 11.3218
_cell_angle_alpha 90.59
_cell_angle_beta 92.07
_cell_angle_gamma 91.32
loop_
_symmetry_equiv_pos_as_xyz
'x,y,z'
loop_
_atom_site_label
_atom_site_type_symbol
_atom_site_fract_x
_atom_site_fract_y
_atom_site_fract_z
K1 K 0.0000 0.0000 0.0000
K2 K 0.0120 0.8185 0.3582
K3 K 0.0263 0.3309 0.2473
K4 K 0.4584 0.3491 0.8515
K5 K 0.4829 0.8633 0.8006
K6 K 0.5037 0.6818 0.1515
K7 K 0.5201 0.0775 0.4540
K8 K 0.9587 0.6436 0.7102
Mg1 Mg 0.0949 0.3614 0.5307
Mn1 Mn 0.5114 0.1214 0.1457
Mn2 Mn 0.5547 0.5708 0.4833
Mn3 Mn 0.9354 0.1220 0.6745
Mn4 Mn 0.9912 0.5623 0.0007
O1 O 0.0003 0.1118 0.5221
O2 O 0.0001 0.6336 0.1411
O3 O 0.0494 0.9666 0.7584
O4 O 0.0682 0.3203 0.7030
O5 O 0.2199 0.6434 0.9326
O6 O 0.2787 0.0412 0.2116
O7 O 0.3699 0.4008 0.4374
O8 O 0.4899 0.6189 0.6250
O9 O 0.5008 0.0613 0.0030
O10 O 0.5085 0.7380 0.3932
O11 O 0.5169 0.3294 0.1546
O12 O 0.6447 0.1295 0.6863
O13 O 0.7469 0.0411 0.2127
O14 O 0.7527 0.6336 0.9311
O15 O 0.8519 0.5183 0.4754
O16 O 0.9992 0.3547 0.0016
```

[3]
This record from the Alexandria database describes a geometry-optimized K8MgMn4O16 structure. The functional is PBE with a Hubbard U.

Results
Fermi-level density of states in states/eV/f.u.: 9.6
Energy above the most stable polymorph in this dataset in eV per atom: 0.0083

```
data_K8MgMn4O16
_chemical_formula_sum 'K8 Mg1 Mn4 O16'
_symmetry_space_group_name_H-M 'P 1'
_symmetry_Int_Tables_number 1
_cell_length_a 6.4106
_cell_length_b 7.8013
_cell_length_c 10.4514
_cell_angle_alpha 87.20
_cell_angle_beta 83.13
_cell_angle_gamma 86.97
loop_
_symmetry_equiv_pos_as_xyz
'x,y,z'
loop_
_atom_site_label
_atom_site_type_symbol
_atom_site_fract_x
_atom_site_fract_y
_atom_site_fract_z
K1 K 0.0000 0.0000 0.0000
K2 K 0.0016 0.6795 0.7232
K3 K 0.0608 0.1781 0.6320
K4 K 0.1113 0.5510 0.3740
K5 K 0.4187 0.1585 0.1956
K6 K 0.5275 0.3604 0.8477
K7 K 0.5309 0.8773 0.4931
K8 K 0.5510 0.6820 0.1323
Mg1 Mg 0.8008 0.2688 0.2983
Mn1 Mn 0.0198 0.9691 0.3510
Mn2 Mn 0.0224 0.4525 0.0231
Mn3 Mn 0.5181 0.9107 0.8393
Mn4 Mn 0.5889 0.4287 0.5079
O1 O 0.0697 0.1870 0.3669
O2 O 0.0848 0.3542 0.8837
O3 O 0.2317 0.4422 0.1066
O4 O 0.2316 0.8691 0.2686
O5 O 0.3266 0.9459 0.7444
O6 O 0.3550 0.5234 0.5621
O7 O 0.4395 0.9905 0.9837
O8 O 0.5665 0.2263 0.4515
O9 O 0.5668 0.7008 0.8558
O10 O 0.6990 0.5168 0.3592
O11 O 0.7364 0.0082 0.7810
O12 O 0.7671 0.4321 0.6137
O13 O 0.8057 0.0047 0.2617
O14 O 0.8160 0.3473 0.1095
O15 O 0.9490 0.6576 0.9978
O16 O 0.9585 0.8705 0.4965
```

The following VASP energy values (in eV/atom) correspond, in order, to the records above: -5.99; -5.56; -5.55.